An optimized crystal structure of Tl2TeRu, computed with PBE-GGA.

Structure (CIF):
```
data_Tl2TeRu
_space_group_name_H-M_alt 'I -4 m 2'
_space_group_IT_number 119
_space_group_name_Hall 'I -4 -2'
_cell_length_a 5.099
_cell_length_b 5.099
_cell_length_c 7.260
_cell_angle_alpha 90.00
_cell_angle_beta 90.00
_cell_angle_gamma 90.00
loop_
_atom_site_label
_atom_site_type_symbol
_atom_site_fract_x
_atom_site_fract_y
_atom_site_fract_z
Tl1 Tl 0.000 0.000 0.000
Tl2 Tl 0.000 0.500 0.250
Te1 Te 0.000 0.000 0.500
Ru1 Ru 0.000 0.500 0.750
```

Magnetic moment in μB/f.u.: 0.00
ΔE_f (raw) in meV per atom: 581
Fermi-level density of states in states/eV/f.u.: 4.2
Calculated total energy in eV per cell: -29.66



An optimized crystal structure of Tl2TeRu, computed with PBE-GGA.

Structure (CIF):
```
data_Tl2TeRu
_space_group_name_H-M_alt 'R -3 m'
_space_group_IT_number 166
_space_group_name_Hall '-R 3 2"'
_cell_length_a 3.3588
_cell_length_b 3.3588
_cell_length_c 29.9990
_cell_angle_alpha 90.00
_cell_angle_beta 90.00
_cell_angle_gamma 120.00
loop_
_atom_site_label
_atom_site_type_symbol
_atom_site_fract_x
_atom_site_fract_y
_atom_site_fract_z
Tl1 Tl 0.0000 0.0000 0.2346
Te1 Te 0.0000 0.0000 0.0000
Ru1 Ru 0.0000 0.0000 0.5000
```

Magnetic moment in μB/f.u.: 0.40
ΔE_f (raw) in meV per atom: 521
Fermi-level density of states in states/eV/f.u.: 4.0
Calculated total energy in eV per cell: -45.20



An optimized crystal structure of TlTe2Ru, computed with PBE-GGA.

Structure (CIF):
```
data_TlTe2Ru
_space_group_name_H-M_alt 'P 1 2/m 1'
_space_group_IT_number 10
_cell_length_a 3.234
_cell_length_b 4.021
_cell_length_c 8.324
_cell_angle_alpha 90.00
_cell_angle_beta 91.61
_cell_angle_gamma 90.00
loop_
_space_group_symop_operation_xyz
'x,y,z'
'-x,-y,-z'
'-x,y,-z'
'x,-y,z'
loop_
_atom_site_label
_atom_site_type_symbol
_atom_site_fract_x
_atom_site_fract_y
_atom_site_fract_z
Tl1 Tl 0.000 0.000 0.000
Te1 Te 0.493 0.500 0.703
Ru1 Ru 0.500 0.000 0.500
```

Magnetic moment in μB/f.u.: 0.00
ΔE_f (raw) in meV per atom: 139
Fermi-level density of states in states/eV/f.u.: 2.9
Calculated total energy in eV per cell: -17.37



An optimized crystal structure of Tl2TeRu, computed with PBE-GGA.

Structure (CIF):
```
data_Tl2TeRu
_space_group_name_H-M_alt 'P 1 2/m 1'
_space_group_IT_number 10
_cell_length_a 4.625
_cell_length_b 3.801
_cell_length_c 5.855
_cell_angle_alpha 90.00
_cell_angle_beta 107.98
_cell_angle_gamma 90.00
loop_
_space_group_symop_operation_xyz
'x,y,z'
'-x,-y,-z'
'-x,y,-z'
'x,-y,z'
loop_
_atom_site_label
_atom_site_type_symbol
_atom_site_fract_x
_atom_site_fract_y
_atom_site_fract_z
Tl1 Tl 0.000 0.000 0.000
Tl2 Tl 0.500 0.500 0.000
Te1 Te 0.000 0.500 0.500
Ru1 Ru 0.500 0.000 0.500
```

Magnetic moment in μB/f.u.: 1.26
ΔE_f (raw) in meV per atom: 587
Fermi-level density of states in states/eV/f.u.: 4.1
Calculated total energy in eV per cell: -14.80



An optimized crystal structure of TlTe2Ru, computed with PBE-GGA.

Structure (CIF):
```
data_TlTe2Ru
_space_group_name_H-M_alt 'I -4 2 d'
_space_group_IT_number 122
_space_group_name_Hall 'I -4 2bw'
_cell_length_a 7.931
_cell_length_b 7.931
_cell_length_c 7.897
_cell_angle_alpha 90.00
_cell_angle_beta 90.00
_cell_angle_gamma 90.00
loop_
_atom_site_label
_atom_site_type_symbol
_atom_site_fract_x
_atom_site_fract_y
_atom_site_fract_z
Tl1 Tl 0.000 0.000 0.000
Te1 Te 0.157 0.750 0.625
Ru1 Ru 0.000 0.000 0.500
```

Magnetic moment in μB/f.u.: 0.00
ΔE_f (raw) in meV per atom: 31
Fermi-level density of states in states/eV/f.u.: 3.0
Calculated total energy in eV per cell: -71.21



An optimized crystal structure of TlTe2Ru, computed with PBE-GGA.

Structure (CIF):
```
data_TlTe2Ru
_space_group_name_H-M_alt 'P 4/m m m'
_space_group_IT_number 123
_space_group_name_Hall '-P 4 2'
_cell_length_a 3.300
_cell_length_b 3.300
_cell_length_c 9.195
_cell_angle_alpha 90.00
_cell_angle_beta 90.00
_cell_angle_gamma 90.00
loop_
_atom_site_label
_atom_site_type_symbol
_atom_site_fract_x
_atom_site_fract_y
_atom_site_fract_z
Tl1 Tl 0.000 0.000 0.000
Te1 Te 0.500 0.500 0.322
Ru1 Ru 0.000 0.000 0.500
```

Magnetic moment in μB/f.u.: 0.26
ΔE_f (raw) in meV per atom: 76
Fermi-level density of states in states/eV/f.u.: 3.3
Calculated total energy in eV per cell: -17.62